# LaCdTe | Alexandria | PBE | optimized geometry
data_LaCdTe
_chemical_formula_sum 'La4 Cd4 Te4'
_symmetry_space_group_name_H-M 'F -4 3 m'
_symmetry_Int_Tables_number 216
_symmetry_space_group_name_Hall 'F -4 2 3'
_cell_length_a 7.5485
_cell_length_b 7.5485
_cell_length_c 7.5485
_cell_angle_alpha 90.00
_cell_angle_beta 90.00
_cell_angle_gamma 90.00
loop_
_atom_site_label
_atom_site_fract_x
_atom_site_fract_y
_atom_site_fract_z
La1 0.0000 0.0000 0.0000
Cd1 0.2500 0.2500 0.7500
Te1 0.2500 0.2500 0.2500
# volume	430.1	Å³/cell
# formation energy from raw total energies	-0.61	eV/atom

# La2CdTe | Alexandria | PBE | optimized geometry
data_La2CdTe
_chemical_formula_sum 'La4 Cd2 Te2'
_symmetry_space_group_name_H-M 'C m m m'
_symmetry_Int_Tables_number 65
_symmetry_space_group_name_Hall '-C 2 2'
_cell_length_a 7.2002
_cell_length_b 8.5884
_cell_length_c 3.8990
_cell_angle_alpha 90.00
_cell_angle_beta 90.00
_cell_angle_gamma 90.00
loop_
_atom_site_label
_atom_site_fract_x
_atom_site_fract_y
_atom_site_fract_z
La1 0.2500 0.2500 0.0000
Cd1 0.0000 0.0000 0.5000
Te1 0.0000 0.5000 0.5000
# volume	241.1	Å³/cell
# formation energy from raw total energies	-0.83	eV/atom

# La3CdTe6 | Alexandria | PBE | optimized geometry
data_La3CdTe6
_chemical_formula_sum 'La12 Cd4 Te24'
_symmetry_space_group_name_H-M 'C m c 21'
_symmetry_Int_Tables_number 36
_cell_length_a 12.5924
_cell_length_b 14.9042
_cell_length_c 7.7801
_cell_angle_alpha 90.00
_cell_angle_beta 90.00
_cell_angle_gamma 90.00
loop_
_symmetry_equiv_pos_as_xyz
'x,y,z'
'-x,-y,z+1/2'
'-x,y,z'
'x,-y,z+1/2'
'x+1/2,y+1/2,z'
'-x+1/2,-y+1/2,z+1/2'
'-x+1/2,y+1/2,z'
'x+1/2,-y+1/2,z+1/2'
loop_
_atom_site_label
_atom_site_fract_x
_atom_site_fract_y
_atom_site_fract_z
La1 0.0000 0.0994 0.0000
La2 0.1782 0.4040 0.8946
Cd1 0.0000 0.2901 0.3628
Te1 0.0000 0.2721 0.7255
Te2 0.0000 0.4655 0.1965
Te3 0.1627 0.0395 0.6978
Te4 0.1799 0.2303 0.1669
# volume	1460.2	Å³/cell
# formation energy from raw total energies	-1.22	eV/atom

# LaCd2Te | Alexandria | PBE | optimized geometry
data_LaCd2Te
_chemical_formula_sum 'La3 Cd6 Te3'
_symmetry_space_group_name_H-M 'R 3 m'
_symmetry_Int_Tables_number 160
_symmetry_space_group_name_Hall 'R 3 -2"'
_cell_length_a 5.0858
_cell_length_b 5.0858
_cell_length_c 15.9345
_cell_angle_alpha 90.00
_cell_angle_beta 90.00
_cell_angle_gamma 120.00
loop_
_atom_site_label
_atom_site_fract_x
_atom_site_fract_y
_atom_site_fract_z
La1 0.0000 0.0000 0.0000
Cd1 0.0000 0.0000 0.2400
Cd2 0.0000 0.0000 0.5573
Te1 0.0000 0.0000 0.7736
# volume	356.9	Å³/cell
# formation energy from raw total energies	-0.53	eV/atom

# LaCdTe | Alexandria | PBE | optimized geometry
data_LaCdTe
_chemical_formula_sum 'La6 Cd6 Te6'
_symmetry_space_group_name_H-M 'R -3 m'
_symmetry_Int_Tables_number 166
_symmetry_space_group_name_Hall '-R 3 2"'
_cell_length_a 5.1812
_cell_length_b 5.1812
_cell_length_c 25.7667
_cell_angle_alpha 90.00
_cell_angle_beta 90.00
_cell_angle_gamma 120.00
loop_
_atom_site_label
_atom_site_fract_x
_atom_site_fract_y
_atom_site_fract_z
La1 0.0000 0.0000 0.0794
Cd1 0.0000 0.0000 0.3324
Te1 0.0000 0.0000 0.2124
# volume	599.0	Å³/cell
# formation energy from raw total energies	-0.93	eV/atom

# LaCd2Te | Alexandria | PBE | optimized geometry
data_LaCd2Te
_chemical_formula_sum 'La2 Cd4 Te2'
_symmetry_space_group_name_H-M 'I -4 m 2'
_symmetry_Int_Tables_number 119
_symmetry_space_group_name_Hall 'I -4 -2'
_cell_length_a 4.8211
_cell_length_b 4.8211
_cell_length_c 9.7360
_cell_angle_alpha 90.00
_cell_angle_beta 90.00
_cell_angle_gamma 90.00
loop_
_atom_site_label
_atom_site_fract_x
_atom_site_fract_y
_atom_site_fract_z
La1 0.0000 0.0000 0.0000
Cd1 0.0000 0.0000 0.5000
Cd2 0.0000 0.5000 0.7500
Te1 0.0000 0.5000 0.2500
# volume	226.3	Å³/cell
# formation energy from raw total energies	-0.56	eV/atom

# LaCdTe | Alexandria | PBE | optimized geometry
data_LaCdTe
_chemical_formula_sum 'La2 Cd2 Te2'
_symmetry_space_group_name_H-M 'I 4 m m'
_symmetry_Int_Tables_number 107
_symmetry_space_group_name_Hall 'I 4 -2'
_cell_length_a 4.0345
_cell_length_b 4.0345
_cell_length_c 10.9485
_cell_angle_alpha 90.00
_cell_angle_beta 90.00
_cell_angle_gamma 90.00
loop_
_atom_site_label
_atom_site_fract_x
_atom_site_fract_y
_atom_site_fract_z
La1 0.0000 0.0000 0.0000
Cd1 0.0000 0.0000 0.6763
Te1 0.0000 0.0000 0.3368
# volume	178.2	Å³/cell
# formation energy from raw total energies	-0.75	eV/atom

# La2CdTe | Alexandria | PBE | optimized geometry
data_La2CdTe
_chemical_formula_sum 'La4 Cd2 Te2'
_symmetry_space_group_name_H-M 'C 1 m 1'
_symmetry_Int_Tables_number 8
_cell_length_a 12.2119
_cell_length_b 4.1707
_cell_length_c 5.0543
_cell_angle_alpha 90.00
_cell_angle_beta 91.20
_cell_angle_gamma 90.00
loop_
_symmetry_equiv_pos_as_xyz
'x,y,z'
'x,-y,z'
'x+1/2,y+1/2,z'
'x+1/2,-y+1/2,z'
loop_
_atom_site_label
_atom_site_fract_x
_atom_site_fract_y
_atom_site_fract_z
La1 0.0000 0.0000 0.0000
La2 0.2436 0.5000 0.5064
Cd1 0.2593 0.0000 0.0072
Te1 0.4722 0.0000 0.4987
# volume	257.4	Å³/cell
# formation energy from raw total energies	-0.83	eV/atom